Arrangement 1

NdEuCo (PBE, relaxed); space-group type = F-43m, No. 216; V = 26.8 A^3/atom
1.0
6.8473 0.0000 0.0000
0.0000 6.8473 0.0000
0.0000 0.0000 6.8473
Nd Eu Co
4 4 4
Cartesian
0.0000 0.0000 0.0000
0.0000 3.4236 3.4236
3.4236 0.0000 3.4236
3.4236 3.4236 0.0000
0.0000 0.0000 3.4236
0.0000 3.4236 0.0000
3.4236 0.0000 0.0000
3.4236 3.4236 3.4236
1.7118 1.7118 1.7118
1.7118 5.1355 5.1355
5.1355 1.7118 5.1355
5.1355 5.1355 1.7118


Arrangement 2

NdEuCo (PBE, relaxed); space-group type = P3m1, No. 156; V = 29.4 A^3/atom
1.0
3.9702 0.0000 0.0000
-1.9851 3.4383 0.0000
0.0000 0.0000 6.4665
Nd Eu Co
1 1 1
Cartesian
0.0000 0.0000 0.0000
0.0000 2.2922 3.3734
1.9851 1.1461 5.0237


Arrangement 3

NdEuCo (PBE, relaxed); space-group type = I4mm, No. 107; V = 27.1 A^3/atom
1.0
3.5083 0.0000 0.0000
0.0000 3.5083 0.0000
0.0000 0.0000 13.1947
Nd Eu Co
2 2 2
Cartesian
0.0000 0.0000 0.0000
1.7542 1.7542 6.5973
0.0000 0.0000 9.8547
1.7542 1.7542 3.2573
0.0000 0.0000 5.0721
1.7542 1.7542 11.6694


Compare the structures above. Which one is the most stable? arrangement 3 is.